(1)
Ba2Mg3Cl10 | GGA-PBE | optimized geometry

```
Ba2Mg3Cl10
1.0
11.5177 -3.6256 0.0000
11.5177 3.6256 0.0000
-3.3863 0.0000 9.0233
Ba Mg Cl
4 6 20
direct
0.1176 0.1176 0.2277
0.2280 0.2280 0.8176
0.7720 0.7720 0.1824
0.8824 0.8824 0.7723
0.2397 0.7603 0.5000
0.3238 0.3238 0.4731
0.4264 0.4264 0.0440
0.5736 0.5736 0.9560
0.6762 0.6762 0.5269
0.7603 0.2397 0.5000
0.0000 0.5000 0.5000
0.0114 0.0114 0.6902
0.1036 0.5971 0.0296
0.1182 0.6522 0.4554
0.2603 0.2603 0.2104
0.2638 0.7362 0.0000
0.3478 0.8818 0.5446
0.3656 0.3656 0.7512
0.4029 0.8964 0.9704
0.4836 0.4836 0.3162
0.5000 0.0000 0.5000
0.5164 0.5164 0.6838
0.5971 0.1036 0.0296
0.6344 0.6344 0.2488
0.6522 0.1182 0.4554
0.7362 0.2638 0.0000
0.7397 0.7397 0.7896
0.8818 0.3478 0.5446
0.8964 0.4029 0.9704
0.9886 0.9886 0.3098
```

Calculated values
space-group type	C2/m (12)
crystal system	monoclinic
total magnetization	0.0	Bohr magnetons per cell
calculated total energy	-3.886	eV per atom
D(E_F)	0.000	states/eV per atom

***

(2)
BaMg2Cl6 | GGA-PBE | optimized geometry

```
BaMg2Cl6
1.0
6.8127 -2.5615 0.0000
6.8127 2.5615 0.0000
-2.2000 0.0000 8.5321
Ba Mg Cl
1 2 6
direct
0.0000 0.0000 0.0000
0.2314 0.2314 0.6537
0.7686 0.7686 0.3463
0.0722 0.0722 0.7023
0.2404 0.2404 0.3791
0.3633 0.3633 0.8911
0.6367 0.6367 0.1089
0.7596 0.7596 0.6209
0.9278 0.9278 0.2977
```

Calculated values
space-group type	C2/m (12)
crystal system	monoclinic
total magnetization	0.1	Bohr magnetons per cell
D(E_F)	0.000	states/eV per atom
energy above the most stable polymorph in this dataset	0.0589	eV per atom

***

(3)
BaMg2Cl6 | GGA-PBE | optimized geometry

```
BaMg2Cl6
1.0
6.6080 0.0000 0.0000
-3.3040 5.7227 0.0000
0.0000 0.0000 6.6817
Ba Mg Cl
1 2 6
direct
0.0000 0.0000 0.0000
0.3333 0.6667 0.5000
0.6667 0.3333 0.5000
0.0000 0.3727 0.7144
0.0000 0.6273 0.2856
0.3727 0.0000 0.7144
0.3727 0.3727 0.2856
0.6273 0.0000 0.2856
0.6273 0.6273 0.7144
```

Calculated values
space-group type	P-31m (162)
crystal system	trigonal
total magnetization	0.0	Bohr magnetons per cell
D(E_F)	0.000	states/eV per atom
energy above the most stable polymorph in this dataset	0.0000	eV per atom

***

(4)
BaMg2Cl2 | GGA-PBE | optimized geometry

```
BaMg2Cl2
1.0
7.9128 0.0000 0.0000
0.0000 7.9128 0.0000
0.0000 0.0000 5.9039
Ba Mg Cl
2 4 4
direct
0.0000 0.0000 0.0000
0.5000 0.5000 0.0000
0.1416 0.3584 0.5000
0.3584 0.8584 0.5000
0.6416 0.1416 0.5000
0.8584 0.6416 0.5000
0.1578 0.6578 0.0000
0.3422 0.1578 0.0000
0.6578 0.8422 0.0000
0.8422 0.3422 0.0000
```

Calculated values
space-group type	P4/mbm (127)
crystal system	tetragonal
total magnetization	0.0	Bohr magnetons per cell
D(E_F)	0.006	states/eV per atom
energy above the most stable polymorph in this dataset	0.1515	eV per atom

***

(5)
BaMgCl3 | GGA-PBE | optimized geometry

```
BaMgCl3
1.0
5.1240 0.0000 0.0000
0.0000 5.1240 0.0000
0.0000 0.0000 5.1240
Ba Mg Cl
1 1 3
direct
0.0000 0.0000 0.0000
0.5000 0.5000 0.5000
0.0000 0.5000 0.5000
0.5000 0.0000 0.5000
0.5000 0.5000 0.0000
```

Calculated values
space-group type	Pm-3m (221)
crystal system	cubic
total magnetization	0.0	Bohr magnetons per cell
D(E_F)	0.487	states/eV per atom
energy above the most stable polymorph in this dataset	0.0000	eV per atom

***

(6)
BaMgCl4 | GGA-PBE | optimized geometry

```
BaMgCl4
1.0
-4.9045 4.9045 4.2526
4.9045 -4.9045 4.2526
4.9045 4.9045 -4.2526
Ba Mg Cl
2 2 8
direct
0.3750 0.6250 0.7500
0.6250 0.3750 0.2500
0.1250 0.8750 0.2500
0.8750 0.1250 0.7500
0.1253 0.6939 0.4314
0.2375 0.3061 0.9314
0.3061 0.2375 0.4314
0.3061 0.8747 0.0686
0.6939 0.1253 0.9314
0.6939 0.7625 0.5686
0.7625 0.6939 0.0686
0.8747 0.3061 0.5686
```

Calculated values
space-group type	I4_1/amd (141)
crystal system	tetragonal
total magnetization	0.0	Bohr magnetons per cell
D(E_F)	0.000	states/eV per atom
energy above the most stable polymorph in this dataset	0.0000	eV per atom

***

(7)
BaMg3Cl | GGA-PBE | optimized geometry

```
BaMg3Cl
1.0
7.1723 0.0000 0.0000
0.0000 7.1723 0.0000
0.0000 0.0000 7.1723
Ba Mg Cl
1 3 1
direct
0.0000 0.0000 0.0000
0.0000 0.0000 0.5000
0.0000 0.5000 0.0000
0.5000 0.0000 0.0000
0.5000 0.5000 0.5000
```

Calculated values
space-group type	Pm-3m (221)
crystal system	cubic
total magnetization	0.0	Bohr magnetons per cell
D(E_F)	0.747	states/eV per atom
energy above the most stable polymorph in this dataset	0.7071	eV per atom

***

(8)
BaMg2MnCl8 | GGA-PBE | optimized geometry

```
BaMg2MnCl8
1.0
6.1811 0.0000 0.0000
0.0000 8.0668 0.0000
-0.2755 0.0000 6.3621
Ba Mg Mn Cl
1 2 1 8
direct
0.0000 0.0000 0.0000
0.5000 0.2672 0.5000
0.5000 0.7328 0.5000
0.0000 0.5000 0.0000
0.2438 0.2900 0.1798
0.2438 0.7100 0.1798
0.2775 0.5000 0.6668
0.2970 0.0000 0.6328
0.7030 0.0000 0.3672
0.7225 0.5000 0.3332
0.7562 0.2900 0.8202
0.7562 0.7100 0.8202
```

Calculated values
space-group type	P2/m (10)
crystal system	monoclinic
total magnetization	5.0	Bohr magnetons per cell
calculated total energy	-4.153	eV per atom
D(E_F)	0.000	states/eV per atom